## La4HgRu (PBE-GGA)

Data for La4HgRu after structural relaxation.

The calculation puts the theoretical density at 7.975 g/cm³. For the energy above the most stable polymorph in this dataset, the calculation gives 0 meV/atom. The raw total energy comes out at -5.2349 eV per atom. The value obtained for the total magnetization is 0.00 μB/f.u.

Unit cell a=14.1880 b=14.1880 c=14.1880 alpha=90.00 beta=90.00 gamma=90.00
With the nearest neighbours (Å) after each atom.
Space group F-43m (No. 216)
Asymmetric unit:
La: 0.0000 0.0000 0.1898 (multiplicity 24)  2 Ru 2.85
La: 0.0584 0.2500 0.2500 (multiplicity 24)  2 Hg 3.38, 6 La 3.58-3.74, 2 Ru 3.58
La: 0.1527 0.1527 0.6527 (multiplicity 16)  3 Ru 3.00
Hg: 0.0826 0.0826 0.4174 (multiplicity 16)  3 Hg 3.32, 9 La 3.38-3.63
Ru: 0.1371 0.1371 0.8629 (multiplicity 16)  6 La 2.85-3.00